Record 1
CaHgBr2 | Alexandria via LeMat-Bulk | GGA-PBEsol | optimized geometry; DOS at the Fermi energy = 0.00 states/eV/f.u.; crystal system = tetragonal; calculated total energy = -2.731 eV/atom; formation energy (no corrections) = -108 kJ per mole of atoms; energy relative to the lowest polymorph listed for this composition = 0.302 eV/atom
1.0
5.024 0.000 0.000
0.000 5.024 0.000
0.000 0.000 4.165
Ca Hg Br
1 1 2
Direct
0.000 0.000 0.000
0.500 0.500 0.000
0.000 0.500 0.500
0.500 0.000 0.500


Record 2
CaHgIBr2 | Alexandria via LeMat-Bulk | GGA-PBEsol | optimized geometry; DOS at the Fermi energy = 4.19 states/eV/f.u.; crystal system = tetragonal; calculated total energy = -2.556 eV/atom; formation energy (no corrections) = -88 kJ per mole of atoms
1.0
5.400 0.000 0.000
0.000 5.400 0.000
0.000 0.000 6.316
Ca Hg I Br
1 1 1 2
Direct
0.000 0.000 0.000
0.500 0.500 0.500
0.000 0.000 0.500
0.000 0.500 0.000
0.500 0.000 0.000


Record 3
CaHg2PbBr | Alexandria via LeMat-Bulk | GGA-PBEsol | optimized geometry; DOS at the Fermi energy = 2.42 states/eV/f.u.; crystal system = tetragonal; calculated total energy = -1.898 eV/atom; formation energy (no corrections) = -7 kJ per mole of atoms
1.0
5.649 0.000 0.000
0.000 5.649 0.000
0.000 0.000 5.747
Ca Hg Pb Br
1 2 1 1
Direct
0.000 0.000 0.000
0.000 0.500 0.500
0.500 0.000 0.500
0.500 0.500 0.500
0.500 0.500 0.000


Record 4
CaHgSeBr2 | Alexandria via LeMat-Bulk | GGA-PBEsol | optimized geometry; DOS at the Fermi energy = 5.38 states/eV/f.u.; crystal system = tetragonal; calculated total energy = -2.649 eV/atom; formation energy (no corrections) = -57 kJ per mole of atoms
1.0
5.465 0.000 0.000
0.000 5.465 0.000
0.000 0.000 5.774
Ca Hg Se Br
1 1 1 2
Direct
0.000 0.000 0.000
0.500 0.500 0.500
0.000 0.000 0.500
0.000 0.500 0.000
0.500 0.000 0.000


Record 5
CaIBr | Alexandria via LeMat-Bulk | GGA-PBEsol | optimized geometry; DOS at the Fermi energy = 0.00 states/eV/f.u.; crystal system = monoclinic; calculated total energy = -3.744 eV/atom; formation energy (no corrections) = -176 kJ per mole of atoms
1.0
7.660 -2.163 0.000
7.660 2.163 0.000
-3.306 0.000 6.697
Ca I Br
2 2 2
Direct
0.249 0.249 0.256
0.751 0.751 0.744
0.119 0.119 0.798
0.881 0.881 0.202
0.360 0.360 0.685
0.640 0.640 0.315


Record 6
Ca3IBr | Alexandria via LeMat-Bulk | GGA-PBEsol | optimized geometry; DOS at the Fermi energy = 6.77 states/eV/f.u.; crystal system = cubic; calculated total energy = -2.407 eV/atom; formation energy (no corrections) = -39 kJ per mole of atoms
1.0
5.653 0.000 0.000
0.000 5.653 0.000
0.000 0.000 5.653
Ca I Br
3 1 1
Direct
0.000 0.000 0.500
0.000 0.500 0.000
0.500 0.000 0.000
0.500 0.500 0.500
0.000 0.000 0.000


Record 7
CaTe2IBr | Alexandria via LeMat-Bulk | GGA-PBEsol | optimized geometry; DOS at the Fermi energy = 6.30 states/eV/f.u.; crystal system = tetragonal; calculated total energy = -2.579 eV/atom; formation energy (no corrections) = -1 kJ per mole of atoms
1.0
5.814 0.000 0.000
0.000 5.814 0.000
0.000 0.000 5.686
Ca Te I Br
1 2 1 1
Direct
0.000 0.000 0.000
0.000 0.500 0.000
0.500 0.000 0.000
0.000 0.000 0.500
0.500 0.500 0.500


Record 8
CaIn2Br | Alexandria via LeMat-Bulk | GGA-PBEsol | optimized geometry; DOS at the Fermi energy = 1.83 states/eV/f.u.; crystal system = tetragonal; calculated total energy = -2.905 eV/atom; formation energy (no corrections) = -40 kJ per mole of atoms
1.0
5.325 0.000 0.000
0.000 5.325 0.000
0.000 0.000 3.844
Ca In Br
1 2 1
Direct
0.000 0.000 0.000
0.000 0.500 0.500
0.500 0.000 0.500
0.500 0.500 0.000


Record 9
Ca2InBr | Alexandria via LeMat-Bulk | GGA-PBEsol | optimized geometry; DOS at the Fermi energy = 1.28 states/eV/f.u.; crystal system = monoclinic; calculated total energy = -3.245 eV/atom; formation energy (no corrections) = -93 kJ per mole of atoms; energy relative to the lowest polymorph listed for this composition = 0.000 eV/atom
1.0
3.846 0.000 0.000
0.000 3.674 0.000
-0.008 0.000 8.479
Ca In Br
2 1 1
Direct
0.001 0.000 0.225
0.999 0.000 0.775
0.500 0.500 0.000
0.000 0.500 0.500


Record 10
CaInBr3 | Alexandria via LeMat-Bulk | GGA-PBEsol | optimized geometry; DOS at the Fermi energy = 0.00 states/eV/f.u.; crystal system = cubic; calculated total energy = -3.497 eV/atom; formation energy (no corrections) = -130 kJ per mole of atoms
1.0
5.551 0.000 0.000
0.000 5.551 0.000
0.000 0.000 5.551
Ca In Br
1 1 3
Direct
0.000 0.000 0.000
0.500 0.500 0.500
0.000 0.000 0.500
0.000 0.500 0.000
0.500 0.000 0.000


Record 11
CaInBr3 | Alexandria via LeMat-Bulk | GGA-PBEsol | optimized geometry; DOS at the Fermi energy = 0.00 states/eV/f.u.; crystal system = orthorhombic; calculated total energy = -3.602 eV/atom; formation energy (no corrections) = -141 kJ per mole of atoms
1.0
2.099 -6.897 0.000
2.099 6.897 0.000
0.000 0.000 10.701
Ca In Br
2 2 6
Direct
0.000 0.000 0.000
0.000 0.000 0.500
0.259 0.741 0.750
0.741 0.259 0.250
0.070 0.930 0.250
0.362 0.638 0.048
0.362 0.638 0.452
0.638 0.362 0.548
0.638 0.362 0.952
0.930 0.070 0.750


Record 12
Ca2InBr | Alexandria via LeMat-Bulk | GGA-PBEsol | optimized geometry; DOS at the Fermi energy = 1.56 states/eV/f.u.; crystal system = trigonal; calculated total energy = -3.204 eV/atom; formation energy (no corrections) = -89 kJ per mole of atoms; energy relative to the lowest polymorph listed for this composition = 0.041 eV/atom
1.0
2.007 1.159 8.324
-2.007 1.159 8.324
0.000 -2.318 8.324
Ca In Br
2 1 1
Direct
0.249 0.249 0.249
0.751 0.751 0.751
0.000 0.000 0.000
0.500 0.500 0.500


The lowest formation energy (no corrections) belongs to which entry?
CaIBr